VASP calculation (PBE-GGA) on a relaxed structure of NaGa3Sn.

```
10
Lattice="4.299 0.000 0.000 0.000 5.674 0.000 -2.149 0.000 9.363" Properties=species:S:1:pos:R:3 pbc="T T T"
Ga 0.000 4.255 2.927
Ga 0.000 2.935 5.613
Ga 2.149 1.418 6.436
Sn 2.149 4.255 0.866
Na 0.000 1.418 1.628
Ga 2.149 0.098 3.751
Ga 2.149 2.739 3.751
Sn 0.000 1.418 8.497
Na 2.149 4.255 7.735
Ga 0.000 5.575 5.613
```

Output
Energy relative to the lowest polymorph listed for this composition = 0.000 eV/atom
Space group = Cmcm (63)
Calculated formation energy = -0.05 eV per atom

***

VASP calculation (PBE-GGA) on a relaxed structure of PmSc5Al6.

```
12
Lattice="-4.993 -0.173 0.944 0.026 -6.435 -1.043 4.128 2.161 7.139" Properties=species:S:1:pos:R:3 pbc="T T T"
Al 1.639 0.295 7.322
Al 0.995 -5.121 1.627
Pm 0.000 0.000 0.000
Sc -1.543 -3.678 2.280
Al -2.478 -4.742 -0.283
Sc -1.674 -0.444 2.696
Sc 0.704 -0.769 4.759
Al -1.822 -2.363 4.920
Sc 0.836 -4.003 4.343
Al -1.834 0.674 5.412
Al 0.983 -2.083 2.120
Sc 0.013 -3.217 -0.522
```

Output
Space group = C2/m (12)
Calculated formation energy = -0.42 eV per atom

***

VASP calculation (PBE-GGA) on a relaxed structure of NaTc2P2.

```
5
Lattice="-2.053 -1.080 -3.368 3.332 0.715 -2.260 0.747 -4.353 3.423" Properties=species:S:1:pos:R:3 pbc="T T T"
Tc 0.959 -0.274 -4.221
Tc 0.320 -0.091 -1.407
P 2.386 -2.952 0.734
Na -0.653 -2.717 0.028
P -0.360 -1.766 -2.939
```

Output
Energy relative to the lowest polymorph listed for this composition = 0.000 eV/atom
Space group = I4/mmm (139)
Calculated formation energy = -0.47 eV per atom

***

VASP calculation (PBE-GGA) on a relaxed structure of Hg2H2Pb.

```
5
Lattice="3.209 0.000 0.000 -1.604 5.102 0.275 0.000 -0.518 6.393" Properties=species:S:1:pos:R:3 pbc="T T T"
Hg 0.000 2.247 4.817
H 0.000 -0.013 3.490
Pb 0.000 0.000 0.000
H 1.604 4.598 3.178
Hg 1.604 2.337 1.851
```

Output
Energy relative to the lowest polymorph listed for this composition = 0.000 eV/atom
Space group = C2/m (12)

***

VASP calculation (PBE-GGA) on a relaxed structure of La3In2Au4.

```
9
Lattice="4.809 0.000 0.000 -2.405 5.486 -1.782 0.000 -1.332 9.095" Properties=species:S:1:pos:R:3 pbc="T T T"
La 0.000 0.000 0.000
Au 2.405 2.334 -0.229
La 0.000 3.493 1.573
Au 2.405 3.877 3.882
Au 0.000 0.277 3.432
Au 0.000 1.820 7.543
In 0.000 2.926 4.955
In 2.405 1.228 2.359
La 2.405 0.660 5.740
```

Output
Space group = C2/m (12)
Calculated formation energy = -0.76 eV per atom

***

VASP calculation (PBE-GGA) on a relaxed structure of YAlPd6.

```
8
Lattice="5.482 0.000 0.000 2.741 4.748 0.000 2.741 1.583 6.301" Properties=species:S:1:pos:R:3 pbc="T T T"
Y 5.482 3.165 3.150
Pd 1.405 0.811 1.794
Al 0.000 0.000 0.000
Pd 9.559 5.519 4.506
Pd 6.887 5.519 4.506
Pd 8.223 3.205 4.506
Pd 4.077 0.811 1.794
Pd 2.741 3.125 1.794
```

Output
Energy relative to the lowest polymorph listed for this composition = 0.408 eV/atom
Space group = R-3m (166)
Calculated formation energy = -0.31 eV per atom

***

VASP calculation (PBE-GGA) on a relaxed structure of Na5B7C3.

```
30
Lattice="11.243 0.134 -2.768 10.850 2.949 -2.768 -0.559 -0.078 9.950" Properties=species:S:1:pos:R:3 pbc="T T T"
C 2.062 0.288 9.175
B 17.075 2.382 -1.233
Na 17.359 2.422 1.508
B 8.045 1.122 2.918
B 9.232 1.288 -1.442
B 19.480 2.718 -4.755
C 10.532 1.469 -0.560
B 12.443 1.736 5.948
Na 1.812 0.253 6.431
Na 13.139 1.833 -1.341
B 1.488 0.208 3.613
Na 4.185 0.584 2.855
C 5.818 0.812 6.581
B 21.454 2.993 1.779
B 0.099 0.014 2.646
B 13.390 1.868 1.427
B 3.994 0.557 0.154
B 14.738 2.056 2.350
Na 14.957 2.087 5.122
Na 6.572 0.917 -0.677
C 6.705 0.935 2.001
Na -0.547 -0.076 9.938
B 19.944 2.783 0.737
Na 8.418 1.174 5.722
B 17.515 2.444 4.243
B 4.565 0.637 5.719
C 11.070 1.544 5.007
C 15.716 2.193 -2.164
Na 10.739 1.498 2.240
Na 19.693 2.748 -2.001
```

Output
Energy relative to the lowest polymorph listed for this composition = 0.013 eV/atom
Space group = Cm (8)
Calculated formation energy = 0.13 eV per atom

***

VASP calculation (PBE-GGA) on a relaxed structure of Ac2NdTe2N2.

```
7
Lattice="-1.965 -4.199 -0.417 2.223 -0.639 -4.040 6.455 -1.076 6.404" Properties=species:S:1:pos:R:3 pbc="T T T"
Ac 1.549 -3.173 -1.328
Te 4.277 -4.621 0.402
N 1.111 -0.319 -2.020
Nd 0.000 0.000 0.000
N -0.982 -2.100 -0.209
Te 2.436 -1.293 1.545
Ac 5.164 -2.741 3.275
```

Output
Space group = I4/mmm (139)
E_form (uncorrected) = -1198 meV per atom

***

Computed values of theoretical density (unit: kg/m³) for the preceding records, in sequence: 5103, 3618, 5834, 9643, 10420, 7639, 2420, 7906.
Computed values of V (unit: Å³ per atom) for the preceding records, in sequence: 22.84, 20.33, 15.99, 21.02, 25.40, 20.50, 10.37, 26.45.